PuIr2Rh2: optimized geometry, PBE.

Summary:
Magnetic moment (μB per formula unit): 4.51
ΔE_f (eV per atom): -0.07
Uncorrected energy (eV/atom): -9.42
Fermi-level density of states (states/eV per cell): 46.58

Lattice parameters (Å, degrees): 3.904 3.904 23.588 90.00 90.00 90.00
Space group I4/mmm (No. 139)
Asymmetric unit:
Pu1 0.000 0.000 0.116
Ir1 0.000 0.000 0.425
Ir2 0.000 0.500 0.250
Rh1 0.000 0.000 0.323
Rh2 0.000 0.500 0.000

Pu3IrRh: optimized geometry, PBE.

Summary:
Magnetic moment (μB per formula unit): 5.07
ΔE_f (eV per atom): -0.33
Uncorrected energy (eV/atom): -12.17
ΔE to the lowest computed polymorph (meV per atom): 0
Fermi-level density of states (states/eV per cell): 39.10

Lattice parameters (Å, degrees): 5.611 5.641 7.519 111.45 98.25 103.08
Space group P-1 (No. 2)
Asymmetric unit:
Pu1 0.052 0.400 0.237
Pu2 0.302 0.146 0.612
Pu3 0.397 0.212 0.976
Ir1 0.152 0.889 0.196
Rh1 0.393 0.672 0.632

Pu3IrRh: optimized geometry, PBE.

Summary:
Magnetic moment (μB per formula unit): 11.58
ΔE_f (eV per atom): -0.30
Uncorrected energy (eV/atom): -12.14
ΔE to the lowest computed polymorph (meV per atom): 23
Fermi-level density of states (states/eV per cell): 58.93

Lattice parameters (Å, degrees): 6.821 6.821 6.821 90.00 90.00 90.00
Space group Pm-3m (No. 221)
Asymmetric unit:
Pu1 0.000 0.000 0.000
Pu2 0.257 0.257 0.257
Ir1 0.000 0.500 0.500
Rh1 0.000 0.000 0.500

Pu4IrRh2: optimized geometry, PBE.

Summary:
Magnetic moment (μB per formula unit): 20.43
ΔE_f (eV per atom): -0.41
Uncorrected energy (eV/atom): -11.96
Fermi-level density of states (states/eV per cell): 112.50

Lattice parameters (Å, degrees): 8.504 8.504 8.493 90.00 90.00 90.00
Space group I-42d (No. 122)
Asymmetric unit:
Pu1 0.069 0.680 0.446
Ir1 0.000 0.000 0.500
Rh1 0.124 0.750 0.125

Pu7Ir2Rh2: optimized geometry, PBE.

Summary:
Magnetic moment (μB per formula unit): 26.55
ΔE_f (eV per atom): -0.10
Uncorrected energy (eV/atom): -12.17
Fermi-level density of states (states/eV per cell): 105.38

Lattice parameters (Å, degrees): 10.536 7.361 6.860 90.00 90.22 90.00
Space group C2/m (No. 12)
Asymmetric unit:
Pu1 0.000 0.000 0.000
Pu2 0.001 0.500 0.261
Pu3 0.250 0.250 0.295
Ir1 0.000 0.176 0.500
Rh1 0.216 0.500 0.000

PuIrRh: optimized geometry, PBE.

Summary:
Magnetic moment (μB per formula unit): 3.99
ΔE_f (eV per atom): -0.17
Uncorrected energy (eV/atom): -10.35
ΔE to the lowest computed polymorph (meV per atom): 382
Fermi-level density of states (states/eV per cell): 15.00

Lattice parameters (Å, degrees): 3.532 3.532 8.646 90.00 90.00 90.00
Space group I4mm (No. 107)
Asymmetric unit:
Pu1 0.000 0.000 0.000
Ir1 0.000 0.000 0.661
Rh1 0.000 0.000 0.330

Pu8Ir2Rh3: optimized geometry, PBE.

Summary:
Magnetic moment (μB per formula unit): 0.94
ΔE_f (eV per atom): -0.27
Uncorrected energy (eV/atom): -12.15
Fermi-level density of states (states/eV per cell): 56.79

Lattice parameters (Å, degrees): 4.558 7.591 8.501 96.81 90.48 106.83
Space group P-1 (No. 2)
Asymmetric unit:
Pu1 0.060 0.123 0.348
Pu2 0.219 0.435 0.076
Pu3 0.294 0.592 0.424
Pu4 0.434 0.891 0.129
Ir1 0.346 0.694 0.777
Rh1 0.148 0.286 0.734
Rh2 0.500 0.000 0.500

PuIrRh3: optimized geometry, PBE.

Summary:
Magnetic moment (μB per formula unit): 3.96
ΔE_f (eV per atom): 0.14
Uncorrected energy (eV/atom): -8.91
Fermi-level density of states (states/eV per cell): 53.92

Lattice parameters (Å, degrees): 5.478 10.197 7.002 90.00 90.00 90.00
Space group Imma (No. 74)
Asymmetric unit:
Pu1 0.000 0.250 0.080
Ir1 0.000 0.000 0.500
Rh1 0.000 0.250 0.458
Rh2 0.250 0.118 0.750